Here is CsNa2TlI4 after structural relaxation from Alexandria via LeMat-Bulk. Energies are from PBE-GGA.

abc: 4.879 8.733 8.489
angles: 71.27 90.00 90.00
Sites, in units of the cell vectors:
I: 0.500 0.782 0.251
Na: 0.000 0.000 0.000
Cs: 0.500 0.500 0.000
I: 0.000 0.790 0.725
I: 0.000 0.210 0.275
I: 0.500 0.218 0.749
Tl: 0.000 0.500 0.500
Na: 0.500 0.000 0.500

Output
Raw formation energy: -891 kJ/mol of formula units
Crystal system: monoclinic
Mass density: 4.3 g/cm3